Record 1
A plane-wave DFT calculation with GGA-PBE was carried out for a geometry-optimized Nd12Cd3Ag structure.

Output
Space group   P4/mmm, No. 123
VASP energy   -4.01 eV per atom

Cell and atoms, written as extended XYZ:
```
16
Lattice="4.974 0.000 0.000 0.000 4.974 0.000 0.000 0.000 19.879" Properties=species:S:1:pos:R:3 pbc="T T T"
Nd 0.000 0.000 0.000
Nd 0.000 0.000 4.926
Nd 0.000 0.000 9.940
Nd 0.000 0.000 14.953
Nd 0.000 2.487 2.447
Nd 0.000 2.487 7.440
Nd 0.000 2.487 12.439
Nd 0.000 2.487 17.432
Nd 2.487 0.000 2.447
Nd 2.487 0.000 7.440
Nd 2.487 0.000 12.439
Nd 2.487 0.000 17.432
Cd 2.487 2.487 4.949
Cd 2.487 2.487 9.940
Cd 2.487 2.487 14.930
Ag 2.487 2.487 0.000
```


Record 2
A plane-wave DFT calculation with GGA-PBE was carried out for a geometry-optimized YHoThZr structure.

Output
Space group   F-43m, No. 216
VASP energy   -6.58 eV per atom

Cell and atoms, written as extended XYZ:
```
4
Lattice="0.000 3.878 3.878 3.878 0.000 3.878 3.878 3.878 0.000" Properties=species:S:1:pos:R:3 pbc="T T T"
Y 0.000 0.000 0.000
Ho 5.818 5.818 5.818
Th 3.878 3.878 3.878
Zr 1.939 1.939 1.939
```


Record 3
A plane-wave DFT calculation with GGA-PBE was carried out for a geometry-optimized RbSBrCl2 structure.

Output
Space group   P4/mmm, No. 123
VASP energy   -2.43 eV per atom
Formation energy without anion corrections   -0.336 eV/atom

Cell and atoms, written as extended XYZ:
```
5
Lattice="5.512 0.000 0.000 0.000 5.512 0.000 0.000 0.000 4.921" Properties=species:S:1:pos:R:3 pbc="T T T"
Rb 0.000 0.000 0.000
S 2.756 2.756 0.000
Br 2.756 2.756 2.460
Cl 0.000 2.756 2.460
Cl 2.756 0.000 2.460
```


Record 4
A plane-wave DFT calculation with GGA-PBE was carried out for a geometry-optimized Sm2PtF structure.

Output
Space group   R-3m, No. 166
VASP energy   -6.24 eV per atom
Formation energy without anion corrections   -1.898 eV/atom

Cell and atoms, written as extended XYZ:
```
4
Lattice="2.154 1.244 7.425 -2.154 1.244 7.425 0.000 -2.488 7.425" Properties=species:S:1:pos:R:3 pbc="T T T"
Sm 0.000 0.000 2.263
Sm 0.000 0.000 20.012
Pt 0.000 0.000 11.138
F 0.000 0.000 0.000
```


Record 5
A plane-wave DFT calculation with GGA-PBE was carried out for a geometry-optimized Li5Ge structure.

Output
Space group   C2/m, No. 12
VASP energy   -2.60 eV per atom

Cell and atoms, written as extended XYZ:
```
6
Lattice="3.898 -2.250 0.000 3.898 2.250 0.000 -0.007 0.000 5.447" Properties=species:S:1:pos:R:3 pbc="T T T"
Li 0.000 0.000 0.000
Li 2.597 0.000 1.349
Li 2.593 0.000 3.771
Li 5.195 0.000 1.676
Li 5.191 0.000 4.098
Ge -0.004 0.000 2.724
```


Record 6
A plane-wave DFT calculation with GGA-PBE was carried out for a geometry-optimized Rb2Na4In structure.

Output
Space group   I4/mmm, No. 139
VASP energy   -1.36 eV per atom

Cell and atoms, written as extended XYZ:
```
7
Lattice="-3.050 3.050 10.039 3.050 -3.050 10.039 3.050 3.050 -10.039" Properties=species:S:1:pos:R:3 pbc="T T T"
Rb 0.000 0.000 2.794
Rb 0.000 0.000 17.285
Na 3.050 0.000 0.000
Na 0.000 0.000 6.936
Na 0.000 3.050 0.000
Na 0.000 0.000 13.143
In 0.000 0.000 10.039
```


Record 7
A plane-wave DFT calculation with GGA-PBE was carried out for a geometry-optimized KSr2MgAg structure.

Output
Space group   P4/mmm, No. 123
VASP energy   -1.79 eV per atom

Cell and atoms, written as extended XYZ:
```
5
Lattice="6.333 0.000 0.000 0.000 6.333 0.000 0.000 0.000 5.399" Properties=species:S:1:pos:R:3 pbc="T T T"
K 0.000 0.000 0.000
Sr 0.000 3.167 2.699
Sr 3.167 0.000 2.699
Mg 3.167 3.167 0.000
Ag 3.167 3.167 2.699
```


Record 8
A plane-wave DFT calculation with GGA-PBE was carried out for a geometry-optimized Ta2FeNi structure.

Output
Space group   I-42d, No. 122
VASP energy   -9.11 eV per atom

Cell and atoms, written as extended XYZ:
```
8
Lattice="-3.364 3.364 2.706 3.364 -3.364 2.706 3.364 3.364 -2.706" Properties=species:S:1:pos:R:3 pbc="T T T"
Ta 5.045 1.616 -0.676
Ta 1.616 1.682 0.676
Ta -1.682 1.747 2.029
Ta 1.747 1.682 3.382
Fe 0.000 0.000 0.000
Fe 0.000 3.364 1.353
Ni 3.364 0.000 1.353
Ni 0.000 0.000 2.706
```


Record 9
A plane-wave DFT calculation with GGA-PBE was carried out for a geometry-optimized Nd4SnGe3 structure.

Output
Space group   Pmm2, No. 25
VASP energy   -5.43 eV per atom

Cell and atoms, written as extended XYZ:
```
8
Lattice="4.157 0.000 0.000 0.000 4.541 0.000 0.000 0.000 11.283" Properties=species:S:1:pos:R:3 pbc="T T T"
Nd 0.000 0.000 0.000
Nd 0.000 2.270 5.509
Nd 2.078 0.000 8.050
Nd 2.078 2.270 2.497
Sn 0.000 2.270 8.768
Ge 0.000 0.000 3.105
Ge 2.078 0.000 4.930
Ge 2.078 2.270 10.706
```


Record 10
A plane-wave DFT calculation with GGA-PBE was carried out for a geometry-optimized BiSb2Se structure.

Output
Space group   P-1, No. 2
VASP energy   -3.91 eV per atom
Formation energy without anion corrections   -0.009 eV/atom

Cell and atoms, written as extended XYZ:
```
8
Lattice="6.413 0.000 0.000 -1.130 6.333 0.000 -2.805 -0.534 6.605" Properties=species:S:1:pos:R:3 pbc="T T T"
Bi -0.334 2.958 1.715
Bi 2.813 2.840 4.890
Sb 0.050 -0.055 1.460
Sb -0.220 2.615 5.039
Sb 2.699 3.183 1.567
Sb 2.429 5.853 5.146
Se -0.260 -0.006 4.946
Se 2.739 5.804 1.659
```


Record 11
A plane-wave DFT calculation with GGA-PBE was carried out for a geometry-optimized LaRuC2 structure.

Output
Space group   Cm, No. 8
VASP energy   -8.11 eV per atom

Cell and atoms, written as extended XYZ:
```
8
Lattice="4.891 -2.049 0.000 4.891 2.049 0.000 -1.352 0.000 6.478" Properties=species:S:1:pos:R:3 pbc="T T T"
La 0.000 0.000 0.000
La 1.320 0.000 4.013
Ru 3.162 0.000 1.762
Ru 6.863 0.000 1.179
C 4.366 0.000 3.361
C 4.321 0.000 4.780
C 5.200 0.000 2.234
C 5.463 0.000 5.660
```


Record 12
A plane-wave DFT calculation with GGA-PBE was carried out for a geometry-optimized K2TeBr5 structure.

Output
Space group   Cmcm, No. 63
VASP energy   -2.74 eV per atom
Formation energy without anion corrections   -1.025 eV/atom

Cell and atoms, written as extended XYZ:
```
16
Lattice="3.179 -7.720 0.000 3.179 7.720 0.000 0.000 0.000 14.377" Properties=species:S:1:pos:R:3 pbc="T T T"
K 3.179 5.169 8.352
K 3.179 5.169 13.213
K 3.179 -5.169 1.164
K 3.179 -5.169 6.025
Te 3.179 5.014 3.594
Te 3.179 -5.014 10.783
Br 3.179 6.912 1.685
Br 3.179 6.912 5.504
Br 3.179 3.060 1.563
Br 3.179 3.060 5.626
Br 3.179 2.891 10.783
Br 3.179 -2.891 3.594
Br 3.179 -3.060 8.751
Br 3.179 -3.060 12.814
Br 3.179 -6.912 8.873
Br 3.179 -6.912 12.692
```


Theoretical density for the records above, in order: 7.35, 8.21, 2.98, 7.16, 1.87, 1.68, 2.66, 12.92, 7.12, 6.58, 6.75, 2.85 g/cm3